No. 1
Density functional theory data (SCAN) for a PBEsol-optimized structure of LiCo2Ir.

a b c (Å): 2.5877 2.5877 25.2188
angles (deg): 90.00 90.00 120.00
Space group R3m (No. 160, hexagonal axes)
Asymmetric unit:
Li 0.0000 0.0000 0.0000 x3
Co 0.0000 0.0000 0.2457 x3
Co 0.0000 0.0000 0.5047 x3
Ir 0.0000 0.0000 0.7543 x3

Output
- Density of states at the Fermi level: 7.2 states/eV/cell
- Formation energy from the elements: 0.03 eV/atom


No. 2
Density functional theory data (SCAN) for a PBEsol-optimized structure of Ti2In2Bi.

a b c (Å): 7.1042 7.1042 4.2261
angles (deg): 90.00 90.00 90.00
Space group P4/mbm (No. 127)
Asymmetric unit:
Ti 0.1435 0.3565 0.0000 x4
In 0.1549 0.6549 0.5000 x4
Bi 0.0000 0.0000 0.0000 x2

Output
- Density of states at the Fermi level: 5.4 states/eV/cell
- Formation energy from the elements: -0.13 eV/atom


No. 3
Density functional theory data (SCAN) for a PBEsol-optimized structure of TeMo2W.

a b c (Å): 4.5443 4.5443 3.1915
angles (deg): 90.00 90.00 90.00
Space group P4/mmm (No. 123)
Asymmetric unit:
Te 0.0000 0.0000 0.0000 x1
Mo 0.0000 0.5000 0.5000 x2
W 0.5000 0.5000 0.0000 x1

Output
- Density of states at the Fermi level: 3.3 states/eV/cell
- Formation energy without anion corrections: 0.44 eV per atom


No. 4
Density functional theory data (SCAN) for a PBEsol-optimized structure of SrYTc2.

a b c (Å): 3.4260 4.9398 9.3851
angles (deg): 90.00 90.00 90.00
Space group Immm (No. 71)
Asymmetric unit:
Sr 0.0000 0.0000 0.0000 x2
Y 0.0000 0.0000 0.5000 x2
Tc 0.0000 0.5000 0.2440 x4

Output
- Density of states at the Fermi level: 9.3 states/eV/cell
- Formation energy from the elements: 0.92 eV/atom


No. 5
Density functional theory data (SCAN) for a PBEsol-optimized structure of LaP2Br.

a b c (Å): 3.4379 3.4379 7.7075
angles (deg): 90.00 90.00 90.00
Space group P4mm (No. 99)
Asymmetric unit:
La 0.0000 0.0000 0.0000 x1
P 0.0000 0.0000 0.3616 x1
P 0.5000 0.5000 0.2697 x1
Br 0.5000 0.5000 0.7635 x1

Output
- Density of states at the Fermi level: 0.8 states/eV/cell
- Formation energy without anion corrections: -0.82 eV per atom


No. 6
Density functional theory data (SCAN) for a PBEsol-optimized structure of Mo2OsBr.

a b c (Å): 5.1466 8.3772 2.8728
angles (deg): 90.00 90.00 90.00
Space group Cmmm (No. 65)
Asymmetric unit:
Mo 0.2500 0.2500 0.0000 x4
Os 0.0000 0.0000 0.5000 x2
Br 0.0000 0.5000 0.5000 x2

Output
- Density of states at the Fermi level: 7.0 states/eV/cell
- Formation energy without anion corrections: 1.06 eV per atom